The following is a PBE+U calculation of a relaxed structure of FeGe2AsO, from the Alexandria database.

Summary:
Raw total energy, eV per atom: -3.837
Total moment, Bohr magnetons per cell: 3.0

a b c (Å): 5.0147 4.5984 5.0147
angles (deg): 90.00 90.00 90.00
Each line ends with the local moment (μB).
Fractional positions:
As 0.0000 0.0000 0.0000  0.04
Ge 0.0000 0.0000 0.5000  0.01
Ge 0.5000 0.0000 0.0000  0.03
O 0.5000 0.5000 0.5000  -0.07
Fe 0.0000 0.5000 0.0000  -3.01